1.
Computed, not measured: a relaxed structure of Hf2ZrCd at the GGA-PBE level of DFT.

The structure belongs to space group Cm (No. 8); the cell edges are 21.101, 3.176 and 5.498 Å and the angles 90.00°, 104.56° and 90.00°. The asymmetric unit holds Hf at (0.000, 0.000, 0.000), Hf at (0.003, 0.500, 0.486), Hf at (0.121, 0.500, 0.941), Hf at (0.377, 0.000, 0.996), Zr at (0.126, 0.000, 0.440), Zr at (0.250, 0.000, 0.190), Cd at (0.253, 0.500, 0.704) and Cd at (0.375, 0.500, 0.501).

Its formation energy is -4 kJ/mol of formula units.

***

2.
Computed, not measured: a relaxed structure of LaSi4Tc9 at the GGA-PBE level of DFT.

The structure belongs to space group I4/mcm (No. 140); the cell edges are 8.372, 8.372 and 12.638 Å and the angles 90.00°, 90.00° and 90.00°. The asymmetric unit holds La at (0.000, 0.000, 0.250), Si at (0.167, 0.333, 0.128), Tc at (0.000, 0.500, 0.000), Tc at (0.067, 0.191, 0.500) and Tc at (0.130, 0.370, 0.322).

The value obtained for the energy relative to the elements, uncorrected is -0.32 eV/atom.

***

3.
Computed, not measured: a relaxed structure of Ba3Pr2ErTe6 at the GGA-PBE level of DFT.

The structure belongs to space group C2/m (No. 12); the cell edges are 8.063, 13.937 and 8.309 Å and the angles 90.00°, 108.87° and 90.00°. The asymmetric unit holds Ba at (0.000, 0.000, 0.000), Ba at (0.000, 0.329, 0.000), Pr at (0.000, 0.165, 0.500), Er at (0.000, 0.500, 0.500), Te at (0.234, 0.339, 0.720) and Te at (0.247, 0.500, 0.276).

The value obtained for the energy relative to the elements, uncorrected is -1.55 eV/atom.

***

4.
Computed, not measured: a relaxed structure of KLiGaSn at the GGA-PBE level of DFT.

The structure belongs to space group F-43m (No. 216); the cell edges are 7.380, 7.380 and 7.380 Å and the angles 90.00°, 90.00° and 90.00°. The asymmetric unit holds K at (0.000, 0.000, 0.000), Li at (0.250, 0.250, 0.750), Ga at (0.250, 0.250, 0.250) and Sn at (0.000, 0.000, 0.500).

Its formation energy is -28 kJ/mol of formula units.

***

5.
Computed, not measured: a relaxed structure of ZrIn2Au at the GGA-PBE level of DFT.

The structure belongs to space group P2/m (No. 10); the cell edges are 3.168, 4.613 and 6.024 Å and the angles 90.00°, 91.89° and 90.00°. The asymmetric unit holds Zr at (0.000, 0.000, 0.000), In at (0.475, 0.500, 0.757) and Au at (0.500, 0.000, 0.500).

The value obtained for the relative energy among the computed polymorphs is 135 meV/atom. Its formation energy is -87 kJ/mol of formula units.

***

6.
Computed, not measured: a relaxed structure of Tb3S2O2 at the GGA-PBE level of DFT.

The structure belongs to space group C2/m (No. 12); the cell edges are 12.633, 3.810 and 6.454 Å and the angles 90.00°, 116.86° and 90.00°. The asymmetric unit holds Tb at (0.000, 0.000, 0.000), Tb at (0.221, 0.000, 0.701), S at (0.099, 0.500, 0.828) and O at (0.181, 0.000, 0.325).

The value obtained for the energy relative to the elements, uncorrected is -2.73 eV/atom.

***

7.
Computed, not measured: a relaxed structure of SrCoSe2 at the GGA-PBE level of DFT.

The structure belongs to space group Imm2 (No. 44); the cell edges are 3.616, 3.852 and 13.466 Å and the angles 90.00°, 90.00° and 90.00°. The asymmetric unit holds Sr at (0.000, 0.000, 0.000), Co at (0.000, 0.500, 0.756), Se at (0.000, 0.000, 0.388) and Se at (0.000, 0.500, 0.182).

The value obtained for the energy relative to the elements, uncorrected is -0.61 eV/atom. The value obtained for the relative energy among the computed polymorphs is 321 meV/atom.

***

8.
Computed, not measured: a relaxed structure of ScNbNi14 at the GGA-PBE level of DFT.

The structure belongs to space group P4/mmm (No. 123); the cell edges are 5.118, 5.118 and 7.181 Å and the angles 90.00°, 90.00° and 90.00°. The asymmetric unit holds Sc at (0.000, 0.000, 0.000), Nb at (0.500, 0.500, 0.000), Ni at (0.000, 0.000, 0.500), Ni at (0.000, 0.500, 0.000), Ni at (0.000, 0.500, 0.500), Ni at (0.252, 0.252, 0.262) and Ni at (0.500, 0.500, 0.500).

Its formation energy is -224 kJ/mol of formula units.

***

Please write out number 6 again, unchanged.
Computed, not measured: a relaxed structure of Tb3S2O2 at the GGA-PBE level of DFT.

The structure belongs to space group C2/m (No. 12); the cell edges are 12.633, 3.810 and 6.454 Å and the angles 90.00°, 116.86° and 90.00°. The asymmetric unit holds Tb at (0.000, 0.000, 0.000), Tb at (0.221, 0.000, 0.701), S at (0.099, 0.500, 0.828) and O at (0.181, 0.000, 0.325).

The value obtained for the energy relative to the elements, uncorrected is -2.73 eV/atom.